Model P:
# CeHg2Te

A relaxed CeHg2Te crystal (PBE, Alexandria).

Computed properties:
Symmetry: P4/mmm (123)
Spin magnetization (μB per atom): 0.293
ρ (g/cm3): 10.054

Cell and atoms, written as extended XYZ:
```
4
Lattice="4.519 0.000 0.000 0.000 4.519 0.000 0.000 0.000 5.411" Properties=species:S:1:pos:R:3 pbc="T T T"
Ce 0.000 0.000 0.000
Hg 0.000 2.259 2.705
Hg 2.259 0.000 2.705
Te 2.259 2.259 0.000
```


Model Q:
# CeHg2Te

A relaxed CeHg2Te crystal (PBE, Alexandria).

Computed properties:
Symmetry: R-3m (166)
Spin magnetization (μB per atom): 0.366
ρ (g/cm3): 9.343

Cell and atoms, written as extended XYZ:
```
4
Lattice="1.683 0.972 12.116 -1.683 0.972 12.116 0.000 -1.943 12.116" Properties=species:S:1:pos:R:3 pbc="T T T"
Ce 0.000 0.000 0.000
Hg 0.000 0.000 3.138
Hg 0.000 0.000 33.210
Te 0.000 0.000 18.174
```


Name the least stable of them. model Q.


Model P:
# CeTh2Hg

A relaxed CeTh2Hg crystal (PBE, Alexandria).

Computed properties:
Symmetry: R3m (160)
Spin magnetization (μB per atom): 0.000
ρ (g/cm3): 11.168

Cell and atoms, written as extended XYZ:
```
4
Lattice="1.765 1.019 11.085 -1.765 1.019 11.085 0.000 -2.038 11.085" Properties=species:S:1:pos:R:3 pbc="T T T"
Ce 0.000 0.000 0.000
Th 0.000 0.000 8.213
Th 0.000 0.000 13.969
Hg 0.000 0.000 27.719
```


Model Q:
# CeTh2Hg

A relaxed CeTh2Hg crystal (PBE, Alexandria).

Computed properties:
Symmetry: Fm-3m (225)
Spin magnetization (μB per atom): 0.206
ρ (g/cm3): 11.839

Cell and atoms, written as extended XYZ:
```
4
Lattice="0.000 3.836 3.836 3.836 0.000 3.836 3.836 3.836 0.000" Properties=species:S:1:pos:R:3 pbc="T T T"
Ce 0.000 0.000 0.000
Th 1.918 1.918 1.918
Th 5.754 5.754 5.754
Hg 3.836 3.836 3.836
```


Model R:
# CeTh2Hg

A relaxed CeTh2Hg crystal (PBE, Alexandria).

Computed properties:
Symmetry: P4/mmm (123)
Spin magnetization (μB per atom): 0.073
ρ (g/cm3): 11.210

Cell and atoms, written as extended XYZ:
```
4
Lattice="3.582 0.000 0.000 0.000 3.582 0.000 0.000 0.000 9.291" Properties=species:S:1:pos:R:3 pbc="T T T"
Ce 0.000 0.000 0.000
Th 1.791 1.791 2.439
Th 1.791 1.791 6.852
Hg 0.000 0.000 4.645
```


Model S:
# CeTh2Hg

A relaxed CeTh2Hg crystal (PBE, Alexandria).

Computed properties:
Symmetry: P4/mmm (123)
Spin magnetization (μB per atom): 0.136
ρ (g/cm3): 11.590

Cell and atoms, written as extended XYZ:
```
4
Lattice="4.973 0.000 0.000 0.000 4.973 0.000 0.000 0.000 4.662" Properties=species:S:1:pos:R:3 pbc="T T T"
Ce 0.000 0.000 0.000
Th 0.000 2.487 2.331
Th 2.487 0.000 2.331
Hg 2.487 2.487 0.000
```


Name the least stable of them. model Q.


Model P:
# CeTh2Hg

A relaxed CeTh2Hg crystal (PBE, Alexandria).

Computed properties:
Symmetry: Cm (8)
Spin magnetization (μB per atom): 0.002
ρ (g/cm3): 11.481

Cell and atoms, written as extended XYZ:
```
4
Lattice="6.189 -1.772 0.000 6.189 1.772 0.000 -2.598 0.000 5.308" Properties=species:S:1:pos:R:3 pbc="T T T"
Ce 0.000 0.000 0.000
Th 0.756 0.000 4.463
Th 4.549 0.000 2.523
Hg 8.064 0.000 1.945
```


Model Q:
# CeTh2Hg

A relaxed CeTh2Hg crystal (PBE, Alexandria).

Computed properties:
Symmetry: R-3m (166)
Spin magnetization (μB per atom): 0.128
ρ (g/cm3): 11.318

Cell and atoms, written as extended XYZ:
```
4
Lattice="1.682 0.971 12.048 -1.682 0.971 12.048 0.000 -1.942 12.048" Properties=species:S:1:pos:R:3 pbc="T T T"
Ce 0.000 0.000 0.000
Th 0.000 0.000 3.276
Th 0.000 0.000 32.867
Hg 0.000 0.000 18.072
```


Name the least stable of them. model Q.


Model P:
# CeThHg

A relaxed CeThHg crystal (PBE, Alexandria).

Computed properties:
Symmetry: C2/m (12)
Spin magnetization (μB per atom): 0.000
ρ (g/cm3): 11.532

Cell and atoms, written as extended XYZ:
```
6
Lattice="8.325 -1.777 0.000 8.325 1.777 0.000 -0.007 0.000 5.576" Properties=species:S:1:pos:R:3 pbc="T T T"
Ce 4.018 0.000 1.344
Ce 12.625 0.000 4.232
Th 7.124 0.000 4.155
Th 9.520 0.000 1.421
Hg 1.652 0.000 4.201
Hg 14.991 0.000 1.374
```


Model Q:
# CeThHg

A relaxed CeThHg crystal (PBE, Alexandria).

Computed properties:
Symmetry: I4mm (107)
Spin magnetization (μB per atom): 0.194
ρ (g/cm3): 11.035

Cell and atoms, written as extended XYZ:
```
3
Lattice="-1.709 1.709 7.377 1.709 -1.709 7.377 1.709 1.709 -7.377" Properties=species:S:1:pos:R:3 pbc="T T T"
Ce 0.000 0.000 0.000
Th 0.000 0.000 10.053
Hg 0.000 0.000 5.079
```


Model R:
# CeThHg

A relaxed CeThHg crystal (PBE, Alexandria).

Computed properties:
Symmetry: P2_1/m (11)
Spin magnetization (μB per atom): 0.000
ρ (g/cm3): 11.574

Cell and atoms, written as extended XYZ:
```
6
Lattice="3.571 0.000 0.000 0.000 5.183 0.000 -0.337 0.000 8.878" Properties=species:S:1:pos:R:3 pbc="T T T"
Ce 0.382 1.296 4.163
Ce 2.852 3.887 4.715
Th 1.447 1.296 6.924
Th 1.787 3.887 1.954
Hg -0.020 1.296 0.920
Hg 3.254 3.887 7.957
```


Model S:
# CeThHg

A relaxed CeThHg crystal (PBE, Alexandria).

Computed properties:
Symmetry: P3m1 (156)
Spin magnetization (μB per atom): 0.359
ρ (g/cm3): 11.392

Cell and atoms, written as extended XYZ:
```
3
Lattice="5.260 0.000 0.000 -2.630 4.555 0.000 0.000 0.000 3.484" Properties=species:S:1:pos:R:3 pbc="T T T"
Ce 0.000 0.000 0.000
Th 0.000 3.037 1.285
Hg 2.630 1.518 2.331
```


Name the least stable of them. model S.


Model P:
# Ce2ThHg

A relaxed Ce2ThHg crystal (PBE, Alexandria).

Computed properties:
Symmetry: Fm-3m (225)
Spin magnetization (μB per atom): 0.332
ρ (g/cm3): 10.559

Cell and atoms, written as extended XYZ:
```
4
Lattice="0.000 3.827 3.827 3.827 0.000 3.827 3.827 3.827 0.000" Properties=species:S:1:pos:R:3 pbc="T T T"
Ce 1.914 1.914 1.914
Ce 5.741 5.741 5.741
Th 0.000 0.000 0.000
Hg 3.827 3.827 3.827
```


Model Q:
# Ce2ThHg

A relaxed Ce2ThHg crystal (PBE, Alexandria).

Computed properties:
Symmetry: P4/mmm (123)
Spin magnetization (μB per atom): 0.400
ρ (g/cm3): 10.584

Cell and atoms, written as extended XYZ:
```
4
Lattice="4.725 0.000 0.000 0.000 4.725 0.000 0.000 0.000 5.010" Properties=species:S:1:pos:R:3 pbc="T T T"
Ce 0.000 2.362 0.000
Ce 2.362 0.000 0.000
Th 0.000 0.000 2.505
Hg 2.362 2.362 2.505
```


Name the least stable of them. model P.


Model P:
# Ce2ThHg

A relaxed Ce2ThHg crystal (PBE, Alexandria).

Computed properties:
Symmetry: R3m (160)
Spin magnetization (μB per atom): 0.273
ρ (g/cm3): 10.265

Cell and atoms, written as extended XYZ:
```
4
Lattice="1.736 1.002 11.049 -1.736 1.002 11.049 0.000 -2.004 11.049" Properties=species:S:1:pos:R:3 pbc="T T T"
Ce 0.000 0.000 0.000
Ce 0.000 0.000 5.762
Th 0.000 0.000 13.932
Hg 0.000 0.000 19.452
```


Model Q:
# Ce2ThHg

A relaxed Ce2ThHg crystal (PBE, Alexandria).

Computed properties:
Symmetry: P4/mmm (123)
Spin magnetization (μB per atom): 0.282
ρ (g/cm3): 10.351

Cell and atoms, written as extended XYZ:
```
4
Lattice="3.557 0.000 0.000 0.000 3.557 0.000 0.000 0.000 9.037" Properties=species:S:1:pos:R:3 pbc="T T T"
Ce 0.000 0.000 2.165
Ce 0.000 0.000 6.872
Th 1.779 1.779 4.518
Hg 1.779 1.779 0.000
```


Name the least stable of them. model P.


Model P:
# CeThHg4

A relaxed CeThHg4 crystal (PBE, Alexandria).

Computed properties:
Symmetry: Immm (71)
Spin magnetization (μB per atom): 0.197
ρ (g/cm3): 12.799

Cell and atoms, written as extended XYZ:
```
6
Lattice="-2.541 3.407 4.402 2.541 -3.407 4.402 2.541 3.407 -4.402" Properties=species:S:1:pos:R:3 pbc="T T T"
Ce 0.000 0.000 0.000
Th 0.000 3.407 0.000
Hg 2.541 1.710 -1.468
Hg 2.541 1.710 1.468
Hg 0.000 1.696 2.934
Hg 0.000 1.696 5.870
```


Model Q:
# CeThHg4

A relaxed CeThHg4 crystal (PBE, Alexandria).

Computed properties:
Symmetry: F-43m (216)
Spin magnetization (μB per atom): 0.310
ρ (g/cm3): 12.577

Cell and atoms, written as extended XYZ:
```
6
Lattice="0.000 4.264 4.264 4.264 0.000 4.264 4.264 4.264 0.000" Properties=species:S:1:pos:R:3 pbc="T T T"
Ce 0.000 0.000 0.000
Th 2.132 2.132 2.132
Hg 5.331 3.197 3.197
Hg 3.197 5.331 3.197
Hg 3.197 3.197 5.331
Hg 5.331 5.331 5.331
```


Name the least stable of them. model Q.


Model P:
# Ce2ThHg6

A relaxed Ce2ThHg6 crystal (PBE, Alexandria).

Computed properties:
Symmetry: P6/mmm (191)
Spin magnetization (μB per atom): 0.293
ρ (g/cm3): 12.462

Cell and atoms, written as extended XYZ:
```
9
Lattice="8.818 0.000 0.000 -4.409 7.637 0.000 0.000 0.000 3.395" Properties=species:S:1:pos:R:3 pbc="T T T"
Ce 0.000 5.091 0.000
Ce 4.409 2.546 0.000
Th 0.000 0.000 0.000
Hg -1.473 2.551 1.698
Hg -2.936 5.086 1.698
Hg 2.946 0.000 1.698
Hg 1.473 2.551 1.698
Hg 5.872 0.000 1.698
Hg 2.936 5.086 1.698
```


Model Q:
# Ce2ThHg6

A relaxed Ce2ThHg6 crystal (PBE, Alexandria).

Computed properties:
Symmetry: R-3m (166)
Spin magnetization (μB per atom): 0.242
ρ (g/cm3): 12.480

Cell and atoms, written as extended XYZ:
```
9
Lattice="4.405 2.543 3.397 -4.405 2.543 3.397 0.000 -5.086 3.397" Properties=species:S:1:pos:R:3 pbc="T T T"
Ce 0.000 0.000 1.684
Ce 0.000 0.000 8.507
Th 0.000 0.000 5.095
Hg -1.468 -2.544 3.397
Hg -2.937 0.000 3.397
Hg 1.468 -2.544 3.397
Hg -1.469 2.543 3.397
Hg 2.937 0.000 3.397
Hg 1.469 2.543 3.397
```


Name the least stable of them. model Q.


Model P:
# Ce2ThHg4

A relaxed Ce2ThHg4 crystal (PBE, Alexandria).

Computed properties:
Symmetry: R-3m (166)
Spin magnetization (μB per atom): 0.423
ρ (g/cm3): 10.262

Cell and atoms, written as extended XYZ:
```
7
Lattice="2.639 1.524 8.815 -2.639 1.524 8.815 0.000 -3.048 8.815" Properties=species:S:1:pos:R:3 pbc="T T T"
Ce 0.000 0.000 6.534
Ce 0.000 0.000 19.911
Th 0.000 0.000 0.000
Hg 0.000 0.000 3.355
Hg 0.000 0.000 10.013
Hg 0.000 0.000 16.432
Hg 0.000 0.000 23.090
```


Model Q:
# Ce2ThHg4

A relaxed Ce2ThHg4 crystal (PBE, Alexandria).

Computed properties:
Symmetry: I4/mmm (139)
Spin magnetization (μB per atom): 0.382
ρ (g/cm3): 8.119

Cell and atoms, written as extended XYZ:
```
7
Lattice="-2.916 2.916 7.903 2.916 -2.916 7.903 2.916 2.916 -7.903" Properties=species:S:1:pos:R:3 pbc="T T T"
Ce 0.000 0.000 1.539
Ce 0.000 0.000 14.266
Th 0.000 0.000 7.903
Hg 2.916 0.000 0.000
Hg 0.000 0.000 4.752
Hg 0.000 2.916 0.000
Hg 0.000 0.000 11.053
```


Name the least stable of them. model Q.


Model P:
# CeTiHg2

A relaxed CeTiHg2 crystal (PBE, Alexandria).

Computed properties:
Symmetry: P4/mmm (123)
Spin magnetization (μB per atom): 0.186
ρ (g/cm3): 11.115

Cell and atoms, written as extended XYZ:
```
4
Lattice="3.175 0.000 0.000 0.000 3.175 0.000 0.000 0.000 8.731" Properties=species:S:1:pos:R:3 pbc="T T T"
Ce 0.000 0.000 0.000
Ti 0.000 0.000 4.365
Hg 1.588 1.588 2.435
Hg 1.588 1.588 6.295
```


Model Q:
# CeTiHg2

A relaxed CeTiHg2 crystal (PBE, Alexandria).

Computed properties:
Symmetry: Fm-3m (225)
Spin magnetization (μB per atom): 0.693
ρ (g/cm3): 10.230

Cell and atoms, written as extended XYZ:
```
4
Lattice="0.000 3.630 3.630 3.630 0.000 3.630 3.630 3.630 0.000" Properties=species:S:1:pos:R:3 pbc="T T T"
Ce 0.000 0.000 0.000
Ti 3.630 3.630 3.630
Hg 1.815 1.815 1.815
Hg 5.444 5.444 5.444
```


Name the least stable of them. model Q.


Model P:
# Ce6TlHg2

A relaxed Ce6TlHg2 crystal (PBE, Alexandria).

Computed properties:
Symmetry: C2/m (12)
Spin magnetization (μB per atom): 0.461
ρ (g/cm3): 10.259

Cell and atoms, written as extended XYZ:
```
9
Lattice="8.065 -4.725 0.000 8.065 4.725 0.000 -0.595 0.000 3.071" Properties=species:S:1:pos:R:3 pbc="T T T"
Ce 5.011 1.765 2.590
Ce 8.065 3.062 0.000
Ce 10.526 1.765 0.481
Ce 5.011 -1.765 2.590
Ce 8.065 -3.062 0.000
Ce 10.526 -1.765 0.481
Tl 7.768 0.000 1.536
Hg 2.207 0.000 2.018
Hg 13.329 0.000 1.053
```


Model Q:
# Ce6TlHg2

A relaxed Ce6TlHg2 crystal (PBE, Alexandria).

Computed properties:
Symmetry: P6/mmm (191)
Spin magnetization (μB per atom): 0.518
ρ (g/cm3): 10.733

Cell and atoms, written as extended XYZ:
```
9
Lattice="9.146 0.000 0.000 -4.573 7.920 0.000 0.000 0.000 3.089" Properties=species:S:1:pos:R:3 pbc="T T T"
Ce -1.562 2.706 0.000
Ce -3.010 5.214 0.000
Ce 3.125 0.000 0.000
Ce 1.562 2.706 0.000
Ce 6.021 0.000 0.000
Ce 3.010 5.214 0.000
Tl 0.000 0.000 1.544
Hg 0.000 5.280 1.544
Hg 4.573 2.640 1.544
```


Name the least stable of them. model P.


Model P:
# Ce4Tl2Hg3

A relaxed Ce4Tl2Hg3 crystal (PBE, Alexandria).

Computed properties:
Symmetry: Cmce (64)
Spin magnetization (μB per atom): 0.487
ρ (g/cm3): 9.588

Cell and atoms, written as extended XYZ:
```
18
Lattice="3.507 -8.295 0.000 3.507 8.295 0.000 0.000 0.000 9.354" Properties=species:S:1:pos:R:3 pbc="T T T"
Ce 3.507 5.222 8.821
Ce 1.753 0.373 7.015
Ce 1.753 -0.373 2.338
Ce 3.507 3.073 4.145
Ce 3.507 -3.073 5.209
Ce 5.260 0.373 7.015
Ce 5.260 -0.373 2.338
Ce 3.507 -5.222 0.532
Tl 3.507 6.320 5.224
Tl 3.507 1.975 0.548
Tl 3.507 -1.975 8.806
Tl 3.507 -6.320 4.129
Hg 0.000 0.000 0.000
Hg 1.753 3.468 7.015
Hg 1.753 -3.468 2.338
Hg 3.507 0.000 4.677
Hg 5.260 3.468 7.015
Hg 5.260 -3.468 2.338
```


Model Q:
# Ce4Tl2Hg3

A relaxed Ce4Tl2Hg3 crystal (PBE, Alexandria).

Computed properties:
Symmetry: C2/m (12)
Spin magnetization (μB per atom): 0.555
ρ (g/cm3): 10.758

Cell and atoms, written as extended XYZ:
```
9
Lattice="5.309 -2.484 0.000 5.309 2.484 0.000 -3.191 0.000 9.195" Properties=species:S:1:pos:R:3 pbc="T T T"
Ce -0.898 0.000 3.265
Ce 3.212 0.000 0.891
Ce 4.214 0.000 8.304
Ce 8.323 0.000 5.929
Tl 0.972 0.000 6.956
Tl 6.454 0.000 2.239
Hg 0.000 0.000 0.000
Hg 2.275 0.000 3.994
Hg 5.150 0.000 5.201
```


Name the least stable of them. model P.